Entry 1:
DFT (PBE-GGA) results for a geometry-optimized HoZr3Co2 structure.

a b c (Å): 4.6957 8.1877 7.5906
angles (deg): 119.15 90.00 106.66
Element x y z (fractional)
Co (0.1984, 0.3967, 0.7613)
Zr (0.6931, 0.3863, 0.4016)
Zr (0.3069, 0.6137, 0.5984)
Co (0.4860, 0.9719, 0.8387)
Ho (0.1438, 0.2875, 0.0599)
Co (0.8016, 0.6033, 0.2387)
Zr (0.0571, 0.1141, 0.3874)
Ho (0.8562, 0.7125, 0.9401)
Co (0.5140, 0.0281, 0.1613)
Zr (0.3937, 0.7874, 0.2896)
Zr (0.6063, 0.2126, 0.7104)
Zr (0.9429, 0.8859, 0.6126)

---

Entry 2:
DFT (PBE-GGA) results for a geometry-optimized HoZrCo structure.

a b c (Å): 3.2922 3.2922 6.1810
angles (deg): 105.44 105.44 90.00
Each line ends with the local moment (μB).
Element x y z (fractional)
Ho (0.0187, 0.0187, 0.0374)  0.27
Co (0.6809, 0.6809, 0.3619)  0.89
Zr (0.3004, 0.3004, 0.6007)  0.24

---

Entry 3:
DFT (PBE-GGA) results for a geometry-optimized Ho2Zr3Co2 structure.

a b c (Å): 3.4637 5.9458 8.0714
angles (deg): 70.90 77.61 73.07
Element x y z (fractional)
Co (0.8454, 0.0751, 0.2341)
Zr (0.5000, 0.0000, 0.0000)
Ho (0.8439, 0.5118, 0.8004)
Co (0.1546, 0.9249, 0.7659)
Ho (0.1561, 0.4882, 0.1996)
Zr (0.3808, 0.8052, 0.4333)
Zr (0.6192, 0.1948, 0.5667)

---

Entry 4:
DFT (PBE-GGA) results for a geometry-optimized Ho3ZrCo8 structure.

a b c (Å): 5.0087 5.0087 8.6804
angles (deg): 73.23 73.23 60.00
Each line ends with the local moment (μB).
Element x y z (fractional)
Co (0.6875, 0.6875, 0.9375)  1.02
Co (0.4422, 0.9377, 0.6824)  1.06
Co (0.9330, 0.4372, 0.1927)  0.99
Co (0.9377, 0.4422, 0.6824)  1.06
Ho (0.9997, 0.9997, 0.0008)  -0.33
Co (0.1878, 0.1878, 0.4367)  1.05
Co (0.4372, 0.9330, 0.1927)  0.99
Co (0.9377, 0.9377, 0.6824)  1.06
Ho (0.5001, 0.5001, 0.4998)  -0.33
Zr (0.8753, 0.8753, 0.3740)  -0.34
Ho (0.3747, 0.3747, 0.8760)  -0.34
Co (0.4372, 0.4372, 0.1927)  0.99

---

Entry 5:
DFT (PBE-GGA) results for a geometry-optimized HoZr2Co structure.

a b c (Å): 5.8992 6.3757 9.2305
angles (deg): 90.00 90.00 90.00
Element x y z (fractional)
Co (0.1006, 0.3922, 0.2500)
Ho (0.3575, 0.4715, 0.7500)
Zr (0.8267, 0.3236, 0.9366)
Zr (0.1733, 0.6764, 0.0634)
Ho (0.6425, 0.5285, 0.2500)
Zr (0.6733, 0.8236, 0.5634)
Ho (0.8575, 0.0285, 0.2500)
Co (0.6006, 0.1078, 0.7500)
Zr (0.6733, 0.8236, 0.9366)
Co (0.8994, 0.6078, 0.7500)
Zr (0.8267, 0.3236, 0.5634)
Zr (0.1733, 0.6764, 0.4366)
Zr (0.3267, 0.1764, 0.0634)
Ho (0.1425, 0.9715, 0.7500)
Zr (0.3267, 0.1764, 0.4366)
Co (0.3994, 0.8922, 0.2500)

---

Entry 6:
DFT (PBE-GGA) results for a geometry-optimized HoZrCo2 structure.

a b c (Å): 4.6112 4.6112 4.6112
angles (deg): 60.00 60.00 60.00
Each line ends with the local moment (μB).
Element x y z (fractional)
Co (0.2500, 0.2500, 0.2500)  0.88
Co (0.7500, 0.7500, 0.7500)  0.88
Zr (0.5000, 0.5000, 0.5000)  -0.18
Ho (0.0000, 0.0000, 0.0000)  -0.18

---

Entry 7:
DFT (PBE-GGA) results for a geometry-optimized HoZr2Co3 structure.

a b c (Å): 3.2104 3.2104 9.8369
angles (deg): 90.00 90.00 90.00
Each line ends with the local moment (μB).
Element x y z (fractional)
Co (0.0000, 0.0000, 0.0000)  0.03
Co (0.0000, 0.0000, 0.3080)  0.30
Zr (0.5000, 0.5000, 0.8368)  -0.05
Co (0.0000, 0.0000, 0.6920)  0.30
Zr (0.5000, 0.5000, 0.1632)  -0.05
Ho (0.5000, 0.5000, 0.5000)  -0.05

---

Entry 8:
DFT (PBE-GGA) results for a geometry-optimized Ho2ZrCo2 structure.

a b c (Å): 5.8370 5.8136 7.1241
angles (deg): 99.79 90.00 120.13
Element x y z (fractional)
Zr (0.9086, 0.0000, 0.2500)
Ho (0.4655, 0.6992, 0.8514)
Ho (0.7663, 0.3008, 0.6486)
Co (0.3069, 0.3010, 0.5022)
Co (0.0059, 0.6990, 0.9978)
Ho (0.2337, 0.6992, 0.3514)
Co (0.9941, 0.3010, 0.0022)
Ho (0.5345, 0.3008, 0.1486)
Co (0.6931, 0.6990, 0.4978)
Zr (0.0914, 0.0000, 0.7500)

---

For each record above, in turn, the calculated energy relative to the elements values are -0.13 -0.08 -0.20 -0.23 -0.16 -0.21 -0.26 -0.25 eV per atom.